The following is a DFT calculation (PBE with a Hubbard U) of an optimized crystal structure of RbHoVF6.

Values from the calculation:
Crystal system = orthorhombic
VASP energy = -0.4431 Ry/atom

a b c (Å): 8.1617 7.7978 7.9586
angles (deg): 119.33 120.85 90.00
Sites, in units of the cell vectors:
Rb: 0.8083 0.5583 0.6166
Rb: 0.1917 0.4417 0.3834
Ho: 0.5000 0.0000 0.5000
Ho: 0.0000 0.0000 0.5000
V: 0.5000 0.5000 0.0000
V: 0.5000 0.0000 0.0000
F: 0.4360 0.6860 0.8720
F: 0.8230 0.0730 0.6460
F: 0.8161 0.0884 0.2624
F: 0.4463 0.6740 0.2624
F: 0.4463 0.0884 0.2624
F: 0.8161 0.6740 0.2624
F: 0.5640 0.3140 0.1280
F: 0.1770 0.9270 0.3540
F: 0.1839 0.9116 0.7376
F: 0.5537 0.3260 0.7376
F: 0.5537 0.9116 0.7376
F: 0.1839 0.3260 0.7376